Entry 1:
A relaxed Mg2HOs crystal, computed with PBE.

The structure in POSCAR format:
```
Mg2HOs
1.0
4.265 -2.182 0.000
4.265 2.182 0.000
-0.418 0.000 2.858
Mg H Os
2 1 1
Direct
0.000 0.000 0.000 Mg
0.681 0.681 0.644 Mg
0.233 0.233 0.782 H
0.356 0.356 0.334 Os
```

Its space-group type is Cm (8). For the energy relative to the lowest polymorph listed for this composition, the calculation gives 2.10 kcal/mol of atoms. The crystal system is monoclinic.



Entry 2:
A relaxed Pm2PrSm6Tm crystal, computed with PBE.

The structure in POSCAR format:
```
Pm2PrSm6Tm
1.0
4.608 -7.645 0.000
4.608 7.645 0.000
-1.335 0.000 9.682
Pm Pr Sm Tm
4 2 12 2
Direct
0.199 0.301 0.044 Pm
0.301 0.199 0.544 Pm
0.699 0.801 0.456 Pm
0.801 0.699 0.956 Pm
0.021 0.979 0.250 Pr
0.979 0.021 0.750 Pr
0.014 0.569 0.187 Sm
0.122 0.749 0.556 Sm
0.251 0.878 0.944 Sm
0.294 0.507 0.381 Sm
0.431 0.986 0.313 Sm
0.493 0.706 0.119 Sm
0.507 0.294 0.881 Sm
0.569 0.014 0.687 Sm
0.706 0.493 0.619 Sm
0.749 0.122 0.056 Sm
0.878 0.251 0.444 Sm
0.986 0.431 0.813 Sm
0.409 0.591 0.750 Tm
0.591 0.409 0.250 Tm
```

Its space-group type is C2/c (15). The energy of formation is 0.114 eV per atom. The crystal system is monoclinic.



Entry 3:
A relaxed CeZn4Au crystal, computed with PBE.

The structure in POSCAR format:
```
CeZn4Au
1.0
2.207 -7.887 0.000
2.207 7.887 0.000
0.000 0.000 6.509
Ce Zn Au
2 8 2
Direct
0.131 0.869 0.750 Ce
0.869 0.131 0.250 Ce
0.061 0.939 0.250 Zn
0.336 0.664 0.557 Zn
0.336 0.664 0.943 Zn
0.500 0.500 0.000 Zn
0.500 0.500 0.500 Zn
0.664 0.336 0.057 Zn
0.664 0.336 0.443 Zn
0.939 0.061 0.750 Zn
0.226 0.774 0.250 Au
0.774 0.226 0.750 Au
```

Its space-group type is Cmcm (63). The energy of formation is -0.285 eV per atom. For the energy relative to the lowest polymorph listed for this composition, the calculation gives 0.00 kcal/mol of atoms. The crystal system is orthorhombic.



Entry 4:
A relaxed Ho6Pb3N crystal, computed with PBE.

The structure in POSCAR format:
```
Ho6Pb3N
1.0
5.750 -3.315 0.000
5.750 3.315 0.000
-2.482 0.000 7.182
Ho Pb N
6 3 1
Direct
0.149 0.655 0.628 Ho
0.177 0.177 0.804 Ho
0.345 0.851 0.372 Ho
0.655 0.149 0.628 Ho
0.823 0.823 0.196 Ho
0.851 0.345 0.372 Ho
0.315 0.315 0.252 Pb
0.500 0.500 0.000 Pb
0.685 0.685 0.748 Pb
0.000 0.000 0.500 N
```

Its space-group type is C2/m (12). The uncorrected formation energy comes out at -0.514 eV/atom. The crystal system is monoclinic.



Entry 5:
A relaxed Li2TaOs crystal, computed with PBE.

The structure in POSCAR format:
```
Li2TaOs
1.0
2.576 0.000 0.000
0.000 4.555 0.000
0.000 0.000 5.189
Li Ta Os
2 1 1
Direct
0.000 0.000 0.229 Li
0.000 0.000 0.771 Li
0.500 0.500 0.500 Ta
0.500 0.500 0.000 Os
```

Its space-group type is Pmmm (47). The energy of formation is 0.289 eV per atom. For the energy relative to the lowest polymorph listed for this composition, the calculation gives 3.68 kcal/mol of atoms. The crystal system is orthorhombic.



Entry 6:
A relaxed Sr5Cr crystal, computed with PBE.

The structure in POSCAR format:
```
Sr5Cr
1.0
2.457 -9.033 0.000
2.457 9.033 0.000
0.000 0.000 6.243
Sr Cr
5 1
Direct
0.000 0.000 0.000 Sr
0.147 0.853 0.500 Sr
0.334 0.666 0.000 Sr
0.666 0.334 0.000 Sr
0.853 0.147 0.500 Sr
0.500 0.500 0.500 Cr
```

Its space-group type is Cmmm (65). The energy of formation is 0.325 eV per atom. For the energy relative to the lowest polymorph listed for this composition, the calculation gives 0.00 kcal/mol of atoms. The crystal system is orthorhombic.



no.,ρ (g/cm3)
1,7.487
2,7.312
3,8.773
4,9.857
5,10.502
6,2.937